A plane-wave DFT calculation with GGA-PBE was carried out for an optimized crystal structure of SrReOs2.

As for the calculated total energy: -7.874 eV/atom. The formation energy comes out at 1.274 eV/atom. As for the total moment: 0.0 μB/f.u. The distance to the lowest polymorph of the same formula comes out at 685.6 meV per atom.

The space group is Pmmm (No. 47) and the conventional cell measures 2.8833, 4.8532 and 4.9927 Å, with angles of 90.00, 90.00 and 90.00 degrees. The distinct sites, in fractional coordinates, are Sr at (0.0000, 0.0000, 0.0000), Re at (0.5000, 0.0000, 0.5000), Os at (0.0000, 0.5000, 0.5000) and Os at (0.5000, 0.5000, 0.0000).